Entry 1:
Density functional theory data (PBE) for crystalline Ca2La6Er3 at its relaxed geometry.

Calculated values
* E_form: 0.097 eV per atom
* crystal system: trigonal
* DOS(E_F): 17.6 states/eV/f.u.
* space group: R-3m, No. 166

a b c (Å): 5.8975 5.8975 13.6507
angles (deg): 77.52 77.52 60.00
Sites, in units of the cell vectors:
Er 0.7242 0.7242 0.8274
Er 0.0000 0.0000 0.0000
Er 0.2758 0.2758 0.1726
La 0.9106 0.9106 0.2682
La 0.1863 0.1863 0.4410
La 0.0894 0.0894 0.7318
La 0.3638 0.3638 0.9087
La 0.6362 0.6362 0.0913
La 0.8137 0.8137 0.5590
Ca 0.4549 0.4549 0.6353
Ca 0.5451 0.5451 0.3647



Entry 2:
Density functional theory data (PBE) for crystalline CaLa4Er2 at its relaxed geometry.

Calculated values
* E_form: 0.027 eV per atom
* crystal system: trigonal
* DOS(E_F): 10.2 states/eV/f.u.
* space group: R-3m, No. 166

a b c (Å): 3.6841 3.6841 21.3741
angles (deg): 85.06 85.06 60.00
Sites, in units of the cell vectors:
La 0.2820 0.2820 0.1541
La 0.1427 0.1427 0.5720
La 0.8573 0.8573 0.4280
La 0.7180 0.7180 0.8459
Er 0.4295 0.4295 0.7116
Er 0.5705 0.5705 0.2884
Ca 0.0000 0.0000 0.0000



Entry 3:
Density functional theory data (PBE) for crystalline CaLa8Er2 at its relaxed geometry.

Calculated values
* E_form: 0.033 eV per atom
* crystal system: monoclinic
* DOS(E_F): 18.2 states/eV/f.u.
* space group: C2/m, No. 12

a b c (Å): 5.2684 8.2804 9.7917
angles (deg): 104.41 105.61 90.00
Sites, in units of the cell vectors:
La 0.5946 0.4622 0.1892
La 0.0483 0.7171 0.0967
La 0.1423 0.1939 0.2845
La 0.4054 0.5378 0.8108
La 0.6843 0.9107 0.3686
La 0.9517 0.2829 0.9033
La 0.3157 0.0893 0.6314
La 0.8577 0.8061 0.7155
Er 0.2275 0.6349 0.4550
Er 0.7725 0.3651 0.5450
Ca 0.5000 0.0000 0.0000



Entry 4:
Density functional theory data (PBE) for crystalline CaLaEr2 at its relaxed geometry.

Calculated values
* E_form: 0.170 eV per atom
* crystal system: cubic
* DOS(E_F): 6.4 states/eV/f.u.
* distance to the lowest polymorph of the same formula: 0.0969 eV per atom
* space group: Fm-3m, No. 225

a b c (Å): 5.8030 5.8030 5.8030
angles (deg): 60.00 60.00 60.00
Sites, in units of the cell vectors:
Er 0.7500 0.7500 0.7500
Er 0.2500 0.2500 0.2500
Ca 0.5000 0.5000 0.5000
La 0.0000 0.0000 0.0000